This record from Alexandria via LeMat-Bulk describes a geometry-optimized Nd2Si4PtRh3 structure. The functional is PBE.

Geometry as CIF:
```
data_Nd2Si4PtRh3
_cell_length_a 4.164
_cell_length_b 4.164
_cell_length_c 10.044
_cell_angle_alpha 90.00
_cell_angle_beta 90.00
_cell_angle_gamma 90.00
_space_group_name_H-M_alt 'P -4 m 2'
_space_group_IT_number 115
loop_
_space_group_symop_operation_xyz
'x,y,z'
'y,-x,-z'
'-x,-y,z'
'-y,x,-z'
'-x,y,z'
'-y,-x,-z'
'x,-y,z'
'y,x,-z'
loop_
_atom_site_label
_atom_site_fract_x
_atom_site_fract_y
_atom_site_fract_z
Nd1 0.000 0.500 0.241
Si1 0.000 0.000 0.000
Si2 0.000 0.500 0.636
Si3 0.500 0.500 0.000
Pt1 0.000 0.000 0.500
Rh1 0.000 0.500 0.875
Rh2 0.500 0.500 0.500
```

raw formation energy	-1.044	eV/atom

---

This record from Alexandria via LeMat-Bulk describes a geometry-optimized Nd3Si6PtRh2 structure. The functional is PBE.

Geometry as CIF:
```
data_Nd3Si6PtRh2
_cell_length_a 5.4150
_cell_length_b 5.4150
_cell_length_c 9.2921
_cell_angle_alpha 90.00
_cell_angle_beta 90.00
_cell_angle_gamma 120.00
_space_group_name_H-M_alt 'P -3 m 1'
_space_group_IT_number 164
_space_group_name_Hall '-P 3 2"'
loop_
_atom_site_label
_atom_site_fract_x
_atom_site_fract_y
_atom_site_fract_z
Nd1 0.0000 0.0000 0.0000
Nd2 0.3333 0.6667 0.5831
Si1 0.1676 0.3351 0.2774
Pt1 0.0000 0.0000 0.5000
Rh1 0.3333 0.6667 0.0818
```

raw formation energy	-0.486	eV/atom

---

This record from Alexandria via LeMat-Bulk describes a geometry-optimized Nd2Si3Pt4Rh structure. The functional is PBE.

Geometry as CIF:
```
data_Nd2Si3Pt4Rh
_cell_length_a 4.207
_cell_length_b 4.207
_cell_length_c 10.382
_cell_angle_alpha 90.00
_cell_angle_beta 90.00
_cell_angle_gamma 90.00
_space_group_name_H-M_alt 'P -4 m 2'
_space_group_IT_number 115
loop_
_space_group_symop_operation_xyz
'x,y,z'
'y,-x,-z'
'-x,-y,z'
'-y,x,-z'
'-x,y,z'
'-y,-x,-z'
'x,-y,z'
'y,x,-z'
loop_
_atom_site_label
_atom_site_fract_x
_atom_site_fract_y
_atom_site_fract_z
Nd1 0.000 0.500 0.244
Si1 0.000 0.000 0.000
Si2 0.000 0.500 0.627
Pt1 0.000 0.000 0.500
Pt2 0.000 0.500 0.853
Pt3 0.500 0.500 0.500
Rh1 0.500 0.500 0.000
```

raw formation energy	-0.950	eV/atom

---

This record from Alexandria via LeMat-Bulk describes a geometry-optimized NdSmPtRh structure. The functional is PBE.

Geometry as CIF:
```
data_NdSmPtRh
_cell_length_a 4.425
_cell_length_b 3.898
_cell_length_c 10.832
_cell_angle_alpha 90.00
_cell_angle_beta 90.00
_cell_angle_gamma 90.00
_space_group_name_H-M_alt 'A m m 2'
_space_group_IT_number 38
loop_
_space_group_symop_operation_xyz
'x,y,z'
'-x,-y,z'
'-x,y,z'
'x,-y,z'
'x,y+1/2,z+1/2'
'-x,-y+1/2,z+1/2'
'-x,y+1/2,z+1/2'
'x,-y+1/2,z+1/2'
loop_
_atom_site_label
_atom_site_fract_x
_atom_site_fract_y
_atom_site_fract_z
Nd1 0.000 0.000 0.000
Sm1 0.500 0.000 0.720
Pt1 0.500 0.000 0.442
Rh1 0.000 0.000 0.268
```

energy relative to the lowest polymorph listed for this composition	0	meV per atom
ΔH_f (0 K)	-0.949	eV/atom